La3AuO after structural relaxation, computed with PBE.

density = 5.6 g/cm3
uncorrected energy = -5.5198 eV/atom
relative energy among the computed polymorphs = 0.544 eV/atom
spin magnetization = 0.000 μB per formula unit

```
data_La3AuO
_symmetry_space_group_name_H-M 'C m c m'
_symmetry_Int_Tables_number 63
_symmetry_space_group_name_Hall '-C 2c 2'
_cell_length_a 7.506
_cell_length_b 16.537
_cell_length_c 6.040
_cell_angle_alpha 90.00
_cell_angle_beta 90.00
_cell_angle_gamma 90.00
loop_
_atom_site_label
_atom_site_fract_x
_atom_site_fract_y
_atom_site_fract_z
La1 0.000 0.000 0.000
La2 0.244 0.324 0.250
Au1 0.000 0.172 0.250
O1 0.000 0.387 0.250
```